No. 1
Entry from the Alexandria database: a geometry-optimized Ca3Si2Ir3 structure (PBE).

```
32
Lattice="7.8206 0.0000 0.0000 0.0000 14.2874 0.0000 0.0000 0.0000 5.7430" Properties=species:S:1:pos:R:3 pbc="T T T"
Ca 0.2105 1.5613 0.7316
Ca 0.2105 5.5824 0.7316
Ca 1.3768 3.5719 3.3666
Ca 2.5334 10.7156 0.4951
Ca 3.6998 8.7050 3.6031
Ca 3.6998 12.7261 3.6031
Ca 4.1208 1.5613 2.1399
Ca 4.1208 5.5824 2.1399
Ca 5.2871 3.5719 5.2479
Ca 6.4437 10.7156 2.3764
Ca 7.6100 8.7050 5.0114
Ca 7.6100 12.7261 5.0114
Si 0.9893 8.5514 2.1535
Si 0.9893 12.8797 2.1535
Si 2.9210 1.4077 5.0250
Si 2.9210 5.7360 5.0250
Si 4.8995 8.5514 0.7180
Si 4.8995 12.8797 0.7180
Si 6.8313 1.4077 3.5895
Si 6.8313 5.7360 3.5895
Ir 1.2424 0.5737 3.5255
Ir 1.2424 6.5701 3.5255
Ir 1.3570 10.7156 3.1842
Ir 2.5533 3.5719 0.3127
Ir 2.6679 7.7174 0.6540
Ir 2.6679 13.7138 0.6540
Ir 5.1526 0.5737 5.0890
Ir 5.1526 6.5701 5.0890
Ir 5.2672 10.7156 5.4303
Ir 6.4636 3.5719 2.5588
Ir 6.5782 7.7174 2.2175
Ir 6.5782 13.7138 2.2175
```

Results
Space-group type: No. 62
Formation energy (no corrections) (eV/atom): -0.717

=====

No. 2
Entry from the Alexandria database: a geometry-optimized TiAlVRe structure (PBE).

```
4
Lattice="0.0000 3.0911 3.0911 3.0911 0.0000 3.0911 3.0911 3.0911 0.0000" Properties=species:S:1:pos:R:3 pbc="T T T"
Ti 0.0000 0.0000 0.0000
Al 4.6367 4.6367 4.6367
V 3.0911 3.0911 3.0911
Re 1.5456 1.5456 1.5456
```

Results
Space-group type: No. 216
Energy of formation from the pure elements (eV/atom): -0.297

=====

No. 3
Entry from the Alexandria database: a geometry-optimized Na3As4Pd structure (PBE).

```
8
Lattice="-2.2715 2.7393 8.1855 2.2715 -2.7393 8.1855 2.2715 2.7393 -8.1855" Properties=species:S:1:pos:R:3 pbc="T T T"
Na 0.0000 0.0000 0.0000
Na 2.2715 0.0000 4.8062
Na 0.0000 2.7393 3.3793
As 2.2715 1.1768 -1.9263
As 2.2715 1.1768 1.9263
As 0.0000 1.5625 6.2592
As 0.0000 1.5625 10.1119
Pd 0.0000 0.0000 8.1855
```

Results
Space-group type: No. 71
Energy of formation from the pure elements (eV/atom): -0.286

=====

No. 4
Entry from the Alexandria database: a geometry-optimized Ca3Ga2Ni structure (PBE).

```
24
Lattice="11.8742 0.0000 0.0000 0.0000 4.3042 0.0000 0.0000 0.0000 11.9732" Properties=species:S:1:pos:R:3 pbc="T T T"
Ca 0.6965 1.0760 1.4509
Ca 1.3264 3.2281 6.6718
Ca 2.4905 1.0760 9.5581
Ca 3.4466 3.2281 3.5715
Ca 4.6107 1.0760 0.6852
Ca 5.2406 3.2281 7.4375
Ca 6.6336 1.0760 4.5357
Ca 7.2635 3.2281 11.2880
Ca 8.4276 1.0760 8.4017
Ca 9.3837 3.2281 2.4151
Ca 10.5477 1.0760 5.3014
Ca 11.1777 3.2281 10.5223
Ga 0.4423 3.2281 3.7274
Ga 2.5003 3.2281 11.8426
Ga 3.4368 1.0760 5.8560
Ga 5.4948 1.0760 9.7140
Ga 6.3794 3.2281 2.2592
Ga 8.4374 3.2281 6.1172
Ga 9.3739 1.0760 0.1306
Ga 11.4319 1.0760 8.2458
Ni 1.4519 1.0760 4.3711
Ni 4.4852 3.2281 10.3578
Ni 7.3890 1.0760 1.6155
Ni 10.4223 3.2281 7.6021
```

Results
Space-group type: No. 62
Energy of formation from the pure elements (eV/atom): -0.378

=====

Per-record VASP energy, eV per atom: -6.15, -8.60, -3.75, -3.35